First-principles (PBE-GGA) data for a geometry-optimized MgNi14Ir structure, as listed in Alexandria via LeMat-Bulk.

Unit cell a=8.2573 b=5.0651 c=5.0651 alpha=60.05 beta=90.00 gamma=90.00
With the nearest neighbours (Å) after each atom.
Sites, in units of the cell vectors:
1 Mg 0.0000 0.0000 0.0000  10 Ni 2.53-2.59, 2 Ir 2.53
2 Ni 0.0000 0.0004 0.4999  8 Ni 2.53-2.58, 2 Ir 2.53, 2 Mg 2.53
3 Ni 0.0000 0.4999 0.0004  8 Ni 2.53-2.58, 2 Ir 2.53, 2 Mg 2.53
4 Ni 0.2507 0.3317 0.3317  11 Ni 2.52-2.54, 1 Ir 2.54
5 Ni 0.2569 0.8303 0.8303  11 Ni 2.47-2.57, 1 Mg 2.59
6 Ni 0.2575 0.3361 0.8317  10 Ni 2.47-2.58, 1 Ir 2.58, 1 Mg 2.59
7 Ni 0.2575 0.8317 0.3361  10 Ni 2.47-2.58, 1 Ir 2.58, 1 Mg 2.59
8 Ni 0.5000 0.1663 0.1663  12 Ni 2.48-2.54
9 Ni 0.5000 0.1658 0.6645  12 Ni 2.49-2.54
10 Ni 0.5000 0.6645 0.1658  12 Ni 2.49-2.54
11 Ni 0.5000 0.6655 0.6655  12 Ni 2.47-2.53
12 Ni 0.7425 0.3361 0.8317  10 Ni 2.47-2.58, 1 Ir 2.58, 1 Mg 2.59
13 Ni 0.7425 0.8317 0.3361  10 Ni 2.47-2.58, 1 Ir 2.58, 1 Mg 2.59
14 Ni 0.7431 0.8303 0.8303  11 Ni 2.47-2.57, 1 Mg 2.59
15 Ni 0.7493 0.3317 0.3317  11 Ni 2.52-2.54, 1 Ir 2.54
16 Ir 0.0000 0.5004 0.5004  10 Ni 2.53-2.58, 2 Mg 2.53

Results
Space-group type ... Amm2 (38)
Energy of formation ... 0.002 eV/atom
Fermi-level density of states ... 26.52 states/eV/cell

First-principles (PBE-GGA) data for a geometry-optimized MgNiIr2 structure, as listed in Alexandria via LeMat-Bulk.

Unit cell a=2.8101 b=4.4369 c=4.5566 alpha=90.00 beta=90.00 gamma=90.00
With the nearest neighbours (Å) after each atom.
Sites, in units of the cell vectors:
1 Mg 0.0000 0.0000 0.0000  4 Ir 2.63, 4 Ni 2.68, 2 Mg 2.81
2 Ni 0.5000 0.0000 0.5000  4 Ir 2.63, 4 Mg 2.68, 2 Ni 2.81
3 Ir 0.0000 0.5000 0.5000  4 Ni 2.63, 6 Ir 2.68-2.81
4 Ir 0.5000 0.5000 0.0000  4 Mg 2.63, 6 Ir 2.68-2.81

Results
Space-group type ... Pmmm (47)
Energy of formation ... -0.059 eV/atom
Fermi-level density of states ... 5.76 states/eV/cell